A plane-wave DFT calculation with PBE was carried out for crystalline Tb2CeRu at its relaxed geometry.

Size of the total moment = 1.75 Bohr magnetons per cell
Energy relative to the elements = -0.3095 eV per atom
E_tot = -102.83 eV for the cell shown
Polymorph energy (0 for the lowest one) = 0.000 eV/atom
Space-group type = No. 62

a b c (Å): 6.3539 7.1104 9.6356
angles (deg): 90.00 90.00 90.00
Site moments in Bohr magnetons follow the coordinates.
Fractional positions:
Tb  0.1707  0.6733  0.4349  0.04
Ru  0.4873  0.8644  0.2500  -0.03
Ce  0.3502  0.4480  0.7500  0.27
Ru  0.9873  0.6356  0.7500  -0.03
Ce  0.6498  0.5520  0.2500  0.27
Tb  0.8293  0.3267  0.9349  0.04
Ru  0.0127  0.3644  0.2500  -0.03
Tb  0.6707  0.8267  0.9349  0.04
Tb  0.6707  0.8267  0.5651  0.04
Tb  0.3293  0.1733  0.0651  0.04
Tb  0.1707  0.6733  0.0651  0.04
Ru  0.5127  0.1356  0.7500  -0.03
Tb  0.8293  0.3267  0.5651  0.04
Tb  0.3293  0.1733  0.4349  0.04
Ce  0.1498  0.9480  0.7500  0.27
Ce  0.8502  0.0520  0.2500  0.27